First-principles (GGA-PBE) data for a relaxed CePmSbPb crystal, as listed in the Alexandria database.

Cell: 5.504 5.504 5.504 Å, 60.00 60.00 60.00°
Sites, in units of the cell vectors:
Ce (0.000, 0.000, 0.000)
Pm (0.500, 0.500, 0.500)
Sb (0.750, 0.750, 0.750)
Pb (0.250, 0.250, 0.250)

Values from the calculation:
As for the uncorrected formation energy: -0.59 eV/atom.

***

First-principles (GGA-PBE) data for a relaxed TbCePmPb crystal, as listed in the Alexandria database.

Cell: 5.499 5.499 5.499 Å, 60.00 60.00 60.00°
Sites, in units of the cell vectors:
Tb (0.000, 0.000, 0.000)
Ce (0.750, 0.750, 0.750)
Pm (0.500, 0.500, 0.500)
Pb (0.250, 0.250, 0.250)

Values from the calculation:
Its energy relative to the elements is -78 meV/atom.

***

First-principles (GGA-PBE) data for a relaxed CePmTePb crystal, as listed in the Alexandria database.

Cell: 7.839 7.839 7.839 Å, 33.61 33.61 33.61°
Sites, in units of the cell vectors:
Ce (0.000, 0.000, 0.000)
Pm (0.503, 0.503, 0.503)
Te (0.752, 0.752, 0.752)
Pb (0.252, 0.252, 0.252)

Values from the calculation:
As for the uncorrected formation energy: -0.94 eV/atom. The value obtained for the energy above the lowest structure with this stoichiometry is 0.0 kJ/mol of atoms.

***

Table of V (Å³ per atom), in record order: 29.5; 29.4; 32.9